## Sn2AuSeBr (PBE)

Data for a geometry-optimized Sn2AuSeBr structure.

Lattice parameters (Å, degrees): 5.4608 5.4608 5.1066 90.00 90.00 90.00
Last column: nearest neighbours and their distance in Å.
Sites, in units of the cell vectors:
Sn 0.0000 0.5000 0.0000  2 Au 2.73
Sn 0.5000 0.0000 0.0000  2 Au 2.73
Au 0.0000 0.0000 0.0000  2 Br 2.55, 4 Sn 2.73
Se 0.5000 0.5000 0.5000  8 Sn 3.74, 4 Br 3.86
Br 0.0000 0.0000 0.5000  2 Au 2.55

Computed properties:
Its total energy is -15.46 eV/f.u. The relative energy among the computed polymorphs is 0 meV per atom. For the uncorrected formation energy, the calculation gives 0.1962 eV per atom.


## ScHAu3 (PBE)

Data for a geometry-optimized ScHAu3 structure.

Lattice parameters (Å, degrees): 4.2935 4.2935 4.2935 90.00 90.00 90.00
Last column: nearest neighbours and their distance in Å.
Sites, in units of the cell vectors:
Sc 0.0000 0.0000 0.0000  12 Au 3.04
H 0.5000 0.5000 0.5000  6 Au 2.15
Au 0.0000 0.5000 0.5000  2 H 2.15
Au 0.5000 0.0000 0.5000  2 H 2.15
Au 0.5000 0.5000 0.0000  2 H 2.15

Computed properties:
Its total energy is -20.00 eV/f.u. The relative energy among the computed polymorphs is 0 meV per atom.


## ZrTl2Cl (PBE)

Data for a geometry-optimized ZrTl2Cl structure.

Lattice parameters (Å, degrees): 7.5390 7.5390 7.5390 96.36 96.36 141.11
Last column: nearest neighbours and their distance in Å.
Sites, in units of the cell vectors:
Zr 0.0000 0.0000 0.0000  2 Cl 2.51
Zr 0.7500 0.2500 0.5000  2 Cl 2.51
Tl 0.0249 0.6250 0.8999  2 Zr 3.00, 2 Tl 3.22
Tl 0.3750 0.2749 0.3999  2 Zr 3.00, 2 Tl 3.22
Tl 0.7251 0.1250 0.1001  2 Zr 3.00, 2 Tl 3.22
Tl 0.8750 0.9751 0.6001  2 Zr 3.00, 2 Tl 3.22
Cl 0.2500 0.7500 0.5000  2 Zr 2.51
Cl 0.5000 0.5000 0.0000  2 Zr 2.51

Computed properties:
Its total energy is -15.21 eV/f.u. The relative energy among the computed polymorphs is 521 meV per atom. For the uncorrected formation energy, the calculation gives -0.0217 eV per atom.


## Ho8TeC4 (PBE)

Data for a geometry-optimized Ho8TeC4 structure.

Lattice parameters (Å, degrees): 8.7950 8.7950 11.9159 131.42 131.42 24.25
Last column: nearest neighbours and their distance in Å.
Sites, in units of the cell vectors:
Ho 0.0441 0.0441 0.2226  3 C 2.45-2.49
Ho 0.3053 0.3053 0.4446  3 C 2.44-2.49
Ho 0.3416 0.3416 0.1653  3 C 2.44
Ho 0.3613 0.3613 0.9064  3 C 2.47-2.53
Ho 0.6387 0.6387 0.0936  3 C 2.47-2.53
Ho 0.6584 0.6584 0.8347  3 C 2.44
Ho 0.6947 0.6947 0.5554  3 C 2.44-2.49
Ho 0.9559 0.9559 0.7774  3 C 2.45-2.49
Te 0.0000 0.0000 0.5000  10 Ho 3.47-3.86, 2 Te 3.70
C 0.1492 0.1492 0.9597  6 Ho 2.44-2.53
C 0.3256 0.3256 0.6678  6 Ho 2.44-2.49
C 0.6744 0.6744 0.3322  6 Ho 2.44-2.49
C 0.8508 0.8508 0.0403  6 Ho 2.44-2.53

Computed properties:
Its total energy is -81.71 eV/f.u. For the uncorrected formation energy, the calculation gives -0.3887 eV per atom.


## Nd2Er7Tm2 (PBE)

Data for a geometry-optimized Nd2Er7Tm2 structure.

Lattice parameters (Å, degrees): 7.9862 7.9862 6.0090 106.31 106.31 90.84
Last column: nearest neighbours and their distance in Å.
Sites, in units of the cell vectors:
Nd 0.2303 0.2303 0.0920  8 Er 3.31-3.69, 2 Tm 3.47
Nd 0.7697 0.7697 0.9080  8 Er 3.31-3.69, 2 Tm 3.47
Er 0.0000 0.0000 0.5000  4 Er 3.23, 2 Nd 3.46
Er 0.0617 0.5908 0.3253  2 Er 3.21-3.23, 2 Tm 3.27-3.43, 2 Nd 3.31-3.55
Er 0.4092 0.9383 0.6747  2 Er 3.21-3.23, 2 Tm 3.27-3.43, 2 Nd 3.31-3.55
Er 0.4126 0.4126 0.6992  6 Er 3.35-3.75, 3 Nd 3.39-3.69, 2 Tm 3.61
Er 0.5874 0.5874 0.3008  6 Er 3.35-3.75, 3 Nd 3.39-3.69, 2 Tm 3.61
Er 0.5908 0.0617 0.3253  2 Er 3.21-3.23, 2 Tm 3.27-3.43, 2 Nd 3.31-3.55
Er 0.9383 0.4092 0.6747  2 Er 3.21-3.23, 2 Tm 3.27-3.43, 2 Nd 3.31-3.55
Tm 0.2186 0.7814 0.0000  6 Er 3.27-3.61, 2 Nd 3.47
Tm 0.7814 0.2186 0.0000  6 Er 3.27-3.61, 2 Nd 3.47

Computed properties:
Its total energy is -48.66 eV/f.u. The relative energy among the computed polymorphs is 4 meV per atom. The energy of formation comes out at 170 kJ/mol of formula units.